Material: Sm5Ho12Tl2
Method: DFT, PBE
State: relaxed

Cell lengths 9.3531, 12.0721, 8.3135 Å; angles 131.77, 90.00, 112.79 degrees
Last column: nearest neighbours and their distance in Å.
Positions (direct):
Tl1 0.6861 0.0000 0.0000  8 Ho 3.19-3.47, 2 Sm 3.42, 1 Tl 3.48
Tl2 0.3139 0.0000 0.0000  8 Ho 3.19-3.47, 2 Sm 3.42, 1 Tl 3.48
Sm1 0.7657 0.5315 0.1114  8 Ho 3.35-3.56, 2 Sm 3.59-3.64
Sm2 0.3090 0.6180 0.6246  2 Tl 3.42, 8 Ho 3.44-3.69, 1 Sm 3.59
Sm3 0.0000 0.0000 0.5000  10 Ho 3.38-3.69, 2 Sm 3.64
Sm4 0.2343 0.4685 0.8886  8 Ho 3.35-3.56, 2 Sm 3.59-3.64
Sm5 0.6910 0.3820 0.3754  2 Tl 3.42, 8 Ho 3.44-3.69, 1 Sm 3.59
Ho1 0.0819 0.1639 0.2818  5 Ho 3.25-3.53, 2 Tl 3.36, 3 Sm 3.38-3.58
Ho2 0.5528 0.1056 0.7833  2 Tl 3.27, 7 Ho 3.30-3.51, 2 Sm 3.35-3.44
Ho3 0.5679 0.7477 0.4098  5 Ho 3.30-3.63, 4 Sm 3.39-3.69, 1 Tl 3.47
Ho4 0.6690 0.7056 0.9419  1 Tl 3.19, 4 Ho 3.38-3.56, 1 Sm 3.56
Ho5 0.4321 0.2523 0.5902  5 Ho 3.30-3.63, 4 Sm 3.39-3.69, 1 Tl 3.47
Ho6 0.0366 0.7056 0.9419  1 Tl 3.19, 4 Ho 3.38-3.56, 1 Sm 3.56
Ho7 0.1799 0.7477 0.4098  5 Ho 3.30-3.63, 4 Sm 3.39-3.69, 1 Tl 3.47
Ho8 0.9181 0.8361 0.7182  5 Ho 3.25-3.53, 2 Tl 3.36, 3 Sm 3.38-3.58
Ho9 0.9634 0.2944 0.0581  1 Tl 3.19, 4 Ho 3.38-3.56, 1 Sm 3.56
Ho10 0.4472 0.8944 0.2167  2 Tl 3.27, 7 Ho 3.30-3.51, 2 Sm 3.35-3.44
Ho11 0.8201 0.2523 0.5902  5 Ho 3.30-3.63, 4 Sm 3.39-3.69, 1 Tl 3.47
Ho12 0.3310 0.2944 0.0581  1 Tl 3.19, 4 Ho 3.38-3.56, 1 Sm 3.56

Output
energy of formation from the pure elements	18	meV per atom
symmetry	C2/m (12)